Entry 1:
Entry from the Alexandria database: Cs2RbZnAg after structural relaxation (PBE).

Computed properties:
**Theoretical density**: 3.02 g/cm3
**Formation energy**: 136 meV/atom
**Spin magnetization**: 0.00 μB per formula unit
**Space-group type**: P4/mmm (123)
**Energy relative to the lowest polymorph listed for this composition**: 0.0 kJ per mole of atoms

a = 7.348 Å, b = 7.348 Å, c = 5.345 Å
α = 90.00°, β = 90.00°, γ = 90.00°
Element x y z (fractional)
Cs 0.000 0.500 0.000
Cs 0.500 0.000 0.000
Rb 0.000 0.000 0.500
Zn 0.500 0.500 0.500
Ag 0.500 0.500 0.000

***

Entry 2:
Entry from the Alexandria database: CsRb2ZnAg after structural relaxation (PBE).

Computed properties:
**Theoretical density**: 3.07 g/cm3
**Formation energy**: 163 meV/atom
**Spin magnetization**: 0.00 μB per formula unit
**Space-group type**: P4/mmm (123)
**Energy relative to the lowest polymorph listed for this composition**: 1.4 kJ per mole of atoms

a = 6.940 Å, b = 6.940 Å, c = 5.357 Å
α = 90.00°, β = 90.00°, γ = 90.00°
Element x y z (fractional)
Cs 0.000 0.000 0.000
Rb 0.000 0.500 0.500
Rb 0.500 0.000 0.500
Zn 0.500 0.500 0.500
Ag 0.500 0.500 0.000

***

Entry 3:
Entry from the Alexandria database: CsRbZnAg after structural relaxation (PBE).

Computed properties:
**Theoretical density**: 3.64 g/cm3
**Formation energy**: 170 meV/atom
**Spin magnetization**: 0.00 μB per formula unit
**Space-group type**: F-43m (216)

a = 6.320 Å, b = 6.320 Å, c = 6.320 Å
α = 60.00°, β = 60.00°, γ = 60.00°
Element x y z (fractional)
Cs 0.000 0.000 0.000
Rb 0.500 0.500 0.500
Zn 0.750 0.750 0.750
Ag 0.250 0.250 0.250

***

Number 1: final energy -6.12 eV/cell. Number 2: final energy -6.10 eV/cell. Number 3: final energy -5.27 eV/cell.